{"formula": "Ca6CdGa2", "functional": "PBE", "state": "optimized geometry", "ef_ev_per_atom": -0.29, "total_energy_ev_per_fu": -21.6, "rho_g_cm3": 2.84, "space_group": "No. 71", "magnetic_moment_mub_per_atom": 0.000, "cell": [[-4.962, 5.156, 5.635], [4.962, -5.156, 5.635], [4.962, 5.156, -5.635]], "species": ["Ca", "Ca", "Ca", "Ca", "Ca", "Ca", "Ca", "Ca", "Ca", "Ca", "Ca", "Ca", "Cd", "Cd", "Ga", "Ga", "Ga", "Ga"], "frac_coords": [[0.050, 0.246, 0.805], [0.183, 0.281, 0.464], [0.183, 0.719, 0.902], [0.336, 0.022, 0.687], [0.336, 0.649, 0.313], [0.441, 0.246, 0.195], [0.559, 0.754, 0.805], [0.664, 0.351, 0.687], [0.664, 0.978, 0.313], [0.817, 0.281, 0.098], [0.817, 0.719, 0.536], [0.950, 0.754, 0.195], [0.000, 0.000, 0.000], [0.500, 0.500, 0.000], [0.117, 0.617, 0.500], [0.328, 0.000, 0.328], [0.672, 0.000, 0.672], [0.883, 0.383, 0.500]]}

---

{"formula": "PuIn2Au", "functional": "PBE", "state": "optimized geometry", "ef_ev_per_atom": -0.14, "total_energy_ev_per_fu": -23.6, "rho_g_cm3": 11.85, "space_group": "No. 225", "magnetic_moment_mub_per_atom": 1.421, "cell": [[0.000, 3.608, 3.608], [3.608, 0.000, 3.608], [3.608, 3.608, 0.000]], "species": ["Pu", "In", "In", "Au"], "frac_coords": [[0.000, 0.000, 0.000], [0.250, 0.250, 0.250], [0.750, 0.750, 0.750], [0.500, 0.500, 0.500]]}

---

{"formula": "Al2AsRu", "functional": "PBE", "state": "optimized geometry", "ef_ev_per_atom": -0.27, "total_energy_ev_per_fu": -22.5, "rho_g_cm3": 5.62, "space_group": "No. 44", "magnetic_moment_mub_per_atom": 0.000, "cell": [[-1.448, 2.070, 5.664], [1.448, -2.070, 5.664], [1.448, 2.070, -5.664]], "species": ["Al", "Al", "As", "Ru"], "frac_coords": [[0.000, 0.000, 0.000], [0.687, 0.187, 0.500], [0.309, 0.809, 0.500], [0.496, 0.496, 0.000]]}

---

{"formula": "Tb2Al3Cu12Pt", "functional": "PBE", "state": "optimized geometry", "ef_ev_per_atom": -0.02, "total_energy_ev_per_fu": -76.1, "rho_g_cm3": 7.87, "space_group": "No. 166", "magnetic_moment_mub_per_atom": 0.000, "cell": [[2.615, 1.510, 12.085], [-2.615, 1.510, 12.085], [0.000, -3.020, 12.085]], "species": ["Tb", "Tb", "Al", "Al", "Al", "Cu", "Cu", "Cu", "Cu", "Cu", "Cu", "Cu", "Cu", "Cu", "Cu", "Cu", "Cu", "Pt"], "frac_coords": [[0.144, 0.144, 0.144], [0.856, 0.856, 0.856], [0.000, 0.500, 0.500], [0.500, 0.000, 0.500], [0.500, 0.500, 0.000], [0.104, 0.104, 0.626], [0.104, 0.626, 0.104], [0.107, 0.610, 0.610], [0.374, 0.896, 0.896], [0.390, 0.390, 0.893], [0.390, 0.893, 0.390], [0.610, 0.107, 0.610], [0.610, 0.610, 0.107], [0.626, 0.104, 0.104], [0.893, 0.390, 0.390], [0.896, 0.374, 0.896], [0.896, 0.896, 0.374], [0.500, 0.500, 0.500]]}